1.
Density functional theory data (PBEsol) for a relaxed structure of Cu3Au2.

Output
magnetization = 0.00 μB per formula unit
energy above the lowest structure with this stoichiometry = 0.0 kJ per mole of atoms
energy relative to the elements = -0.03 eV per atom
density of states at the Fermi level = 3.1 states/eV/cell

abc: 2.7758 2.7758 17.6682
angles: 90.00 90.00 90.00
Closest atoms and distances in Å follow each position.
Space group I4/mmm (No. 139)
Inequivalent atoms, fractional coordinates:
1 Cu 0.0000 0.0000 0.0000  8 Au 2.69, 4 Cu 2.78
2 Cu 0.0000 0.0000 0.2072  4 Cu 2.48, 4 Au 2.68
3 Au 0.0000 0.0000 0.3962  8 Cu 2.68-2.69, 4 Au 2.78

---

2.
Density functional theory data (PBEsol) for a relaxed structure of Zr2AlZn.

Output
magnetization = 0.00 μB per formula unit
energy relative to the elements = -0.36 eV per atom
density of states at the Fermi level = 2.8 states/eV/cell

abc: 3.0532 4.0159 5.9404
angles: 90.00 90.00 90.00
Closest atoms and distances in Å follow each position.
Space group Pmmm (No. 47)
Inequivalent atoms, fractional coordinates:
1 Zr 0.0000 0.0000 0.2476  4 Zn 2.92, 4 Al 2.93, 4 Zr 2.94-3.05
2 Al 0.5000 0.5000 0.5000  8 Zr 2.93, 2 Zn 2.97, 2 Al 3.05
3 Zn 0.5000 0.5000 0.0000  8 Zr 2.92, 2 Al 2.97, 2 Zn 3.05

---

Which formula does entry 1 have? Cu3Au2